No. 1
# LiCd2B2Pt5 (PBE, optimized geometry)
# Magnetic moment: 0.00 μB per cell
data_LiCd2B2Pt5
_space_group_name_H-M_alt 'P 1'
_space_group_IT_number 1
_cell_length_a 3.129
_cell_length_b 9.545
_cell_length_c 9.545
_cell_angle_alpha 90.00
_cell_angle_beta 90.00
_cell_angle_gamma 90.00
loop_
_space_group_symop_operation_xyz
'x,y,z'
loop_
_atom_site_label
_atom_site_type_symbol
_atom_site_fract_x
_atom_site_fract_y
_atom_site_fract_z
B1 B 0.000 0.127 0.627
B2 B 0.000 0.873 0.373
B3 B 0.000 0.627 0.873
B4 B 0.000 0.373 0.127
Pt1 Pt 0.500 0.000 0.500
Pt2 Pt 0.500 0.069 0.784
Pt3 Pt 0.500 0.931 0.216
Pt4 Pt 0.500 0.784 0.931
Pt5 Pt 0.500 0.569 0.716
Pt6 Pt 0.500 0.500 0.000
Pt7 Pt 0.500 0.431 0.284
Pt8 Pt 0.500 0.284 0.569
Pt9 Pt 0.500 0.716 0.431
Pt10 Pt 0.500 0.216 0.069
Li1 Li 0.000 0.000 0.000
Li2 Li 0.000 0.500 0.500
Cd1 Cd 0.000 0.678 0.178
Cd2 Cd 0.000 0.178 0.322
Cd3 Cd 0.000 0.322 0.822
Cd4 Cd 0.000 0.822 0.678



No. 2
# LiCdBPt2 (PBE, optimized geometry)
# Magnetic moment: 0.00 μB per cell
data_LiCdBPt2
_space_group_name_H-M_alt 'P 1'
_space_group_IT_number 1
_cell_length_a 4.159
_cell_length_b 4.159
_cell_length_c 4.325
_cell_angle_alpha 90.00
_cell_angle_beta 90.00
_cell_angle_gamma 90.00
loop_
_space_group_symop_operation_xyz
'x,y,z'
loop_
_atom_site_label
_atom_site_type_symbol
_atom_site_fract_x
_atom_site_fract_y
_atom_site_fract_z
Pt1 Pt 0.000 0.500 0.000
Pt2 Pt 0.500 0.000 0.000
B1 B 0.000 0.000 0.000
Li1 Li 0.000 0.000 0.500
Cd1 Cd 0.500 0.500 0.500



No. 3
# Li2CdB2Pt5 (PBE, optimized geometry)
# Magnetic moment: 0.00 μB per cell
data_Li2CdB2Pt5
_space_group_name_H-M_alt 'P 1'
_space_group_IT_number 1
_cell_length_a 2.987
_cell_length_b 9.818
_cell_length_c 9.818
_cell_angle_alpha 90.00
_cell_angle_beta 90.00
_cell_angle_gamma 90.00
loop_
_space_group_symop_operation_xyz
'x,y,z'
loop_
_atom_site_label
_atom_site_type_symbol
_atom_site_fract_x
_atom_site_fract_y
_atom_site_fract_z
Li1 Li 0.000 0.177 0.323
Li2 Li 0.000 0.323 0.823
Li3 Li 0.000 0.677 0.177
Li4 Li 0.000 0.823 0.677
Pt1 Pt 0.500 0.000 0.500
Pt2 Pt 0.500 0.572 0.726
Pt3 Pt 0.500 0.428 0.274
Pt4 Pt 0.500 0.726 0.428
Pt5 Pt 0.500 0.072 0.774
Pt6 Pt 0.500 0.226 0.072
Pt7 Pt 0.500 0.500 0.000
Pt8 Pt 0.500 0.928 0.226
Pt9 Pt 0.500 0.274 0.572
Pt10 Pt 0.500 0.774 0.928
B1 B 0.000 0.124 0.624
B2 B 0.000 0.624 0.876
B3 B 0.000 0.876 0.376
B4 B 0.000 0.376 0.124
Cd1 Cd 0.000 0.000 0.000
Cd2 Cd 0.000 0.500 0.500



No. 4
# RbLiCdB2 (PBE, optimized geometry)
# Magnetic moment: 0.00 μB per cell
data_RbLiCdB2
_space_group_name_H-M_alt 'P 1'
_space_group_IT_number 1
_cell_length_a 5.152
_cell_length_b 4.959
_cell_length_c 5.152
_cell_angle_alpha 90.00
_cell_angle_beta 90.00
_cell_angle_gamma 90.00
loop_
_space_group_symop_operation_xyz
'x,y,z'
loop_
_atom_site_label
_atom_site_type_symbol
_atom_site_fract_x
_atom_site_fract_y
_atom_site_fract_z
Cd1 Cd 0.500 0.500 0.500
B1 B 0.000 0.000 0.500
B2 B 0.500 0.000 0.000
Rb1 Rb 0.000 0.000 0.000
Li1 Li 0.000 0.500 0.000



No. 5
# Li3Cd2BRh3 (PBE, optimized geometry)
# Magnetic moment: 0.00 μB per cell
data_Li3Cd2BRh3
_space_group_name_H-M_alt 'P 1'
_space_group_IT_number 1
_cell_length_a 2.940
_cell_length_b 7.073
_cell_length_c 7.073
_cell_angle_alpha 120.00
_cell_angle_beta 90.00
_cell_angle_gamma 90.00
loop_
_space_group_symop_operation_xyz
'x,y,z'
loop_
_atom_site_label
_atom_site_type_symbol
_atom_site_fract_x
_atom_site_fract_y
_atom_site_fract_z
B1 B 0.000 0.000 0.000
Cd1 Cd 0.500 0.333 0.667
Cd2 Cd 0.500 0.667 0.333
Li1 Li 0.000 0.353 0.000
Li2 Li 0.000 0.647 0.647
Li3 Li 0.000 0.000 0.353
Rh1 Rh 0.500 0.000 0.770
Rh2 Rh 0.500 0.230 0.230
Rh3 Rh 0.500 0.770 0.000



No. 6
# LiCdBRh2 (PBE, optimized geometry)
# Magnetic moment: 0.00 μB per cell
data_LiCdBRh2
_space_group_name_H-M_alt 'P 1'
_space_group_IT_number 1
_cell_length_a 4.089
_cell_length_b 4.089
_cell_length_c 4.208
_cell_angle_alpha 90.00
_cell_angle_beta 90.00
_cell_angle_gamma 90.00
loop_
_space_group_symop_operation_xyz
'x,y,z'
loop_
_atom_site_label
_atom_site_type_symbol
_atom_site_fract_x
_atom_site_fract_y
_atom_site_fract_z
B1 B 0.000 0.000 0.000
Cd1 Cd 0.500 0.500 0.500
Li1 Li 0.000 0.000 0.500
Rh1 Rh 0.500 0.000 0.000
Rh2 Rh 0.000 0.500 0.000



no.,energy relative to the elements (meV per atom),E_tot (eV/atom),theoretical density (g/cm³)
1,-268.7,-5.00,14.32
2,-339.6,-4.66,11.55
3,-436.6,-5.27,12.96
4,2300.9,-1.13,2.86
5,-296.4,-4.33,7.37
6,-289.5,-5.13,7.93